# VCrB2Au

Crystalline VCrB2Au at its relaxed geometry (PBE, the Alexandria database).

Cell and atoms, written as POSCAR:
```
VCrB2Au
1.0
4.0437 0.0000 0.0000
0.0000 5.2715 0.0000
0.0000 0.0000 4.0437
Cr V Au B
1 1 1 2
Direct
0.5000 0.5000 0.5000 Cr
0.0000 0.5000 0.0000 V
0.0000 0.0000 0.0000 Au
0.0000 0.0000 0.5000 B
0.5000 0.0000 0.0000 B
```

***

# CrB2WAu

Crystalline CrB2WAu at its relaxed geometry (PBE, the Alexandria database).

Cell and atoms, written as POSCAR:
```
CrB2WAu
1.0
-1.4763 -3.8194 -0.6372
0.1097 -0.8840 5.0451
-3.8712 1.4401 0.3365
Cr Au B W
1 1 2 1
Direct
0.5000 0.5000 0.5000 Cr
0.0000 0.5000 0.0000 Au
0.5000 0.0000 0.0000 B
0.0000 0.0000 0.5000 B
0.0000 0.0000 0.0000 W
```

***

# CrBWAu2

Crystalline CrBWAu2 at its relaxed geometry (PBE, the Alexandria database).

Cell and atoms, written as POSCAR:
```
CrBWAu2
1.0
5.1225 0.0000 0.0000
0.0000 4.5317 0.0000
0.0000 0.0000 5.1225
Au B Cr W
2 1 1 1
Direct
0.5000 0.0000 0.0000 Au
0.0000 0.0000 0.5000 Au
0.5000 0.5000 0.5000 B
0.0000 0.5000 0.0000 Cr
0.0000 0.0000 0.0000 W
```

***

# CsB3Au

Crystalline CsB3Au at its relaxed geometry (PBE, the Alexandria database).

Results
energy above the most stable polymorph in this dataset = 1607 meV/atom

Cell and atoms, written as POSCAR:
```
CsB3Au
1.0
4.9870 0.0000 0.0000
0.0000 4.9870 0.0000
0.0000 0.0000 4.9870
B Au Cs
3 1 1
Direct
0.0000 0.0000 0.5000 B
0.0000 0.5000 0.0000 B
0.5000 0.0000 0.0000 B
0.5000 0.5000 0.5000 Au
0.0000 0.0000 0.0000 Cs
```

***

# CsB3Au

Crystalline CsB3Au at its relaxed geometry (PBE, the Alexandria database).

Results
energy above the most stable polymorph in this dataset = 0 meV/atom

Cell and atoms, written as POSCAR:
```
CsB3Au
1.0
4.4925 0.0000 0.0000
0.0000 4.4925 0.0000
0.0000 0.0000 4.4925
B Au Cs
3 1 1
Direct
0.5000 0.0000 0.0000 B
0.0000 0.0000 0.5000 B
0.0000 0.5000 0.0000 B
0.0000 0.0000 0.0000 Au
0.5000 0.5000 0.5000 Cs
```

***

# Cs3BAu

Crystalline Cs3BAu at its relaxed geometry (PBE, the Alexandria database).

Results
energy above the most stable polymorph in this dataset = 0 meV/atom

Cell and atoms, written as POSCAR:
```
Cs3BAu
1.0
6.3706 0.0000 0.0000
0.0000 6.3706 0.0000
0.0000 0.0000 6.3706
Cs Au B
3 1 1
Direct
0.5000 0.0000 0.0000 Cs
0.0000 0.0000 0.5000 Cs
0.0000 0.5000 0.0000 Cs
0.5000 0.5000 0.5000 Au
0.0000 0.0000 0.0000 B
```

***

no.,theoretical density (g/cm³),formation energy (eV/atom)
1,6.19,1.61
2,8.58,1.37
3,8.95,2.16
4,4.85,3.41
5,6.64,1.80
6,3.90,0.68